(1)
Below is a relaxed structure of Al2Fe2Cu, with properties calculated at the PBE level.

Formation energy: -0.0677 eV/atom
Relative energy among the computed polymorphs: 0.60 eV per formula unit

Cell: 7.046 7.046 2.663 Å, 90.00 90.00 90.00°
Space group P4/mbm (No. 127)
Symmetry-distinct sites (fractional):
Al (0.181, 0.319, 0.000)
Fe (0.116, 0.616, 0.500)
Cu (0.000, 0.000, 0.500)


(2)
Below is a relaxed structure of Ac3Pr7Tl2, with properties calculated at the PBE level.

Formation energy: 0.0015 eV/atom

Cell: 5.352 4.806 17.957 Å, 90.00 98.54 90.00°
Space group P2/m (No. 10)
Symmetry-distinct sites (fractional):
Ac (0.000, 0.000, 0.000)
Ac (0.324, 0.500, 0.647)
Pr (0.079, 0.500, 0.159)
Pr (0.226, 0.000, 0.451)
Pr (0.420, 0.000, 0.838)
Pr (0.500, 0.500, 0.000)
Tl (0.139, 0.000, 0.279)


(3)
Below is a relaxed structure of VCSI2, with properties calculated at the PBE level.

Raw formation energy: 1.33 eV/atom

Cell: 5.223 5.223 3.982 Å, 90.00 90.00 90.00°
Space group P4/mmm (No. 123)
Symmetry-distinct sites (fractional):
V (0.000, 0.000, 0.000)
C (0.000, 0.000, 0.500)
S (0.500, 0.500, 0.000)
I (0.000, 0.500, 0.500)


(4)
Below is a relaxed structure of Hf3TiGa2, with properties calculated at the PBE level.

Formation energy: -0.3184 eV/atom

Cell: 4.334 13.755 3.790 Å, 90.00 90.00 90.00°
Space group Cmmm (No. 65)
Symmetry-distinct sites (fractional):
Hf (0.000, 0.000, 0.000)
Hf (0.000, 0.329, 0.000)
Ti (0.000, 0.500, 0.500)
Ga (0.000, 0.155, 0.500)


(5)
Below is a relaxed structure of SmPaPt2, with properties calculated at the PBE level.

Formation energy: -0.9287 eV/atom
Relative energy among the computed polymorphs: 0.57 eV per formula unit

Cell: 3.551 3.551 7.166 Å, 90.00 90.00 90.00°
Space group P4/mmm (No. 123)
Symmetry-distinct sites (fractional):
Sm (0.000, 0.000, 0.000)
Pa (0.000, 0.000, 0.500)
Pt (0.500, 0.500, 0.279)


(6)
Below is a relaxed structure of TaCrCdGa2, with properties calculated at the PBE level.

Formation energy: 1.4971 eV/atom

Cell: 4.804 4.804 4.967 Å, 90.00 90.00 90.00°
Space group P4/mmm (No. 123)
Symmetry-distinct sites (fractional):
Ta (0.000, 0.000, 0.000)
Cr (0.500, 0.500, 0.000)
Cd (0.500, 0.500, 0.500)
Ga (0.000, 0.500, 0.500)


(7)
Below is a relaxed structure of Zr2VIr, with properties calculated at the PBE level.

Formation energy: -0.3297 eV/atom
Relative energy among the computed polymorphs: 0.50 eV per formula unit

Cell: 5.578 4.673 5.611 Å, 90.00 99.51 90.00°
Space group Pm (No. 6)
Symmetry-distinct sites (fractional):
Zr (0.000, 0.000, 0.000)
Zr (0.121, 0.500, 0.711)
Zr (0.393, 0.500, 0.224)
Zr (0.740, 0.000, 0.469)
V (0.259, 0.000, 0.497)
V (0.488, 0.000, 0.918)
Ir (0.610, 0.500, 0.722)
Ir (0.894, 0.500, 0.231)


(8)
Below is a relaxed structure of SrLa2Hg, with properties calculated at the PBE level.

Formation energy: -0.1360 eV/atom

Cell: 4.070 5.819 12.012 Å, 90.00 90.00 90.00°
Space group Imm2 (No. 44)
Symmetry-distinct sites (fractional):
Sr (0.000, 0.000, 0.000)
La (0.000, 0.000, 0.431)
La (0.000, 0.500, 0.212)
Hg (0.000, 0.500, 0.718)


(9)
Below is a relaxed structure of LaCuO3, with properties calculated at the PBE level.

Raw formation energy: -2.00 eV/atom

Cell: 5.5667 5.5667 13.1913 Å, 90.00 90.00 120.00°
Space group R-3c (No. 167, hexagonal axes)
Symmetry-distinct sites (fractional):
La (0.0000, 0.0000, 0.2500)
Cu (0.0000, 0.0000, 0.0000)
O (0.0000, 0.4388, 0.2500)


(10)
Below is a relaxed structure of K7TlO2, with properties calculated at the PBE level.

Raw formation energy: -0.57 eV/atom

Cell: 8.625 14.846 5.414 Å, 90.00 90.00 90.00°
Space group Cmmm (No. 65)
Symmetry-distinct sites (fractional):
K (0.000, 0.000, 0.000)
K (0.000, 0.190, 0.500)
K (0.191, 0.350, 0.000)
Tl (0.000, 0.500, 0.500)
O (0.000, 0.193, 0.000)


(11)
Below is a relaxed structure of Tb12YHo5, with properties calculated at the PBE level.

Formation energy: 0.0174 eV/atom

Cell: 10.646 5.024 10.659 Å, 90.00 90.15 90.00°
Space group P2/m (No. 10)
Symmetry-distinct sites (fractional):
Tb (0.000, 0.000, 0.166)
Tb (0.167, 0.500, 0.000)
Tb (0.167, 0.500, 0.667)
Tb (0.334, 0.000, 0.500)
Tb (0.334, 0.000, 0.834)
Tb (0.500, 0.500, 0.333)
Y (0.000, 0.000, 0.500)
Ho (0.167, 0.500, 0.333)
Ho (0.333, 0.000, 0.167)
Ho (0.500, 0.500, 0.000)


(12)
Below is a relaxed structure of Ba3IrC, with properties calculated at the PBE level.

Formation energy: 0.7028 eV/atom
Relative energy among the computed polymorphs: 0.00 eV per formula unit

Cell: 5.479 5.479 5.479 Å, 90.00 90.00 90.00°
Space group Pm-3m (No. 221)
Symmetry-distinct sites (fractional):
Ba (0.000, 0.000, 0.500)
Ir (0.500, 0.500, 0.500)
C (0.000, 0.000, 0.000)


(13)
Below is a relaxed structure of AcPd8Pt4, with properties calculated at the PBE level.

Formation energy: -0.3242 eV/atom

Cell: 9.220 9.220 5.330 Å, 90.00 90.00 90.00°
Space group I4/mmm (No. 139)
Symmetry-distinct sites (fractional):
Ac (0.000, 0.000, 0.000)
Pd (0.000, 0.224, 0.500)
Pd (0.000, 0.349, 0.000)
Pt (0.250, 0.250, 0.250)


(14)
Below is a relaxed structure of RbAuI3, with properties calculated at the PBE level.

Raw formation energy: -0.32 eV/atom

Cell: 6.1442 6.1442 11.4742 Å, 90.00 90.00 120.00°
Space group P6_3/mmc (No. 194)
Symmetry-distinct sites (fractional):
Rb (0.3333, 0.6667, 0.2500)
Au (0.0000, 0.0000, 0.0000)
I (0.0000, 0.0000, 0.2500)
I (0.3333, 0.6667, 0.5507)


(15)
Below is a relaxed structure of LiTcBr2, with properties calculated at the PBE level.

Raw formation energy: -0.07 eV/atom
Relative energy among the computed polymorphs: 0.14 eV per formula unit

Cell: 6.338 3.657 7.677 Å, 90.00 105.83 90.00°
Space group C2/m (No. 12)
Symmetry-distinct sites (fractional):
Li (0.000, 0.000, 0.000)
Tc (0.000, 0.500, 0.500)
Br (0.241, 0.500, 0.225)


(16)
Below is a relaxed structure of NiTeBr2, with properties calculated at the PBE level.

Raw formation energy: 0.14 eV/atom
Relative energy among the computed polymorphs: 1.54 eV per formula unit

Cell: 3.402 3.402 8.442 Å, 90.00 90.00 90.00°
Space group P4mm (No. 99)
Symmetry-distinct sites (fractional):
Ni (0.000, 0.000, 0.000)
Te (0.500, 0.500, 0.150)
Br (0.000, 0.000, 0.409)
Br (0.500, 0.500, 0.806)


(17)
Below is a relaxed structure of CeIn5, with properties calculated at the PBE level.

Formation energy: -0.0890 eV/atom
Relative energy among the computed polymorphs: 0.73 eV per formula unit

Cell: 6.1311 6.1311 5.0353 Å, 90.00 90.00 120.00°
Space group P-62m (No. 189)
Symmetry-distinct sites (fractional):
Ce (0.0000, 0.0000, 0.0000)
In (0.0000, 0.3521, 0.5000)
In (0.3333, 0.6667, 0.0000)


(18)
Below is a relaxed structure of TmGaPd, with properties calculated at the PBE level.

Formation energy: -0.6846 eV/atom

Cell: 6.409 6.409 6.409 Å, 90.00 90.00 90.00°
Space group F-43m (No. 216)
Symmetry-distinct sites (fractional):
Tm (0.000, 0.000, 0.000)
Ga (0.000, 0.000, 0.500)
Pd (0.250, 0.250, 0.750)


(19)
Below is a relaxed structure of Cs2Bi3Se6, with properties calculated at the PBE level.

Raw formation energy: -0.63 eV/atom

Cell: 7.316 12.679 9.112 Å, 90.00 105.57 90.00°
Space group C2/m (No. 12)
Symmetry-distinct sites (fractional):
Cs (0.000, 0.167, 0.000)
Bi (0.000, 0.000, 0.500)
Bi (0.000, 0.332, 0.500)
Se (0.230, 0.500, 0.691)
Se (0.231, 0.166, 0.691)


(20)
Below is a relaxed structure of La12Mg3Sc, with properties calculated at the PBE level.

Formation energy: -0.0090 eV/atom

Cell: 5.116 5.116 20.548 Å, 90.00 90.00 90.00°
Space group P4/mmm (No. 123)
Symmetry-distinct sites (fractional):
La (0.000, 0.000, 0.000)
La (0.000, 0.000, 0.249)
La (0.000, 0.000, 0.500)
La (0.000, 0.500, 0.124)
La (0.000, 0.500, 0.375)
Mg (0.500, 0.500, 0.251)
Mg (0.500, 0.500, 0.500)
Sc (0.500, 0.500, 0.000)


(21)
Below is a relaxed structure of LiNpW2N6, with properties calculated at the PBE level.

Raw formation energy: -0.55 eV/atom

Cell: 10.984 9.293 6.285 Å, 90.00 112.71 90.00°
Space group C2/c (No. 15)
Symmetry-distinct sites (fractional):
Li (0.000, 0.218, 0.250)
Np (0.000, 0.413, 0.750)
W (0.207, 0.087, 0.733)
N (0.106, 0.406, 0.144)
N (0.141, 0.270, 0.713)
N (0.145, 0.022, 0.426)


(22)
Below is a relaxed structure of YTaCr2, with properties calculated at the PBE level.

Formation energy: 0.3049 eV/atom
Relative energy among the computed polymorphs: 0.00 eV per formula unit

Cell: 3.256 3.256 6.780 Å, 90.00 90.00 90.00°
Space group P4/mmm (No. 123)
Symmetry-distinct sites (fractional):
Y (0.000, 0.000, 0.000)
Ta (0.000, 0.000, 0.500)
Cr (0.500, 0.500, 0.293)


(23)
Below is a relaxed structure of VCu4Rh, with properties calculated at the PBE level.

Formation energy: 0.0389 eV/atom

Cell: 6.705 6.705 6.705 Å, 90.00 90.00 90.00°
Space group F-43m (No. 216)
Symmetry-distinct sites (fractional):
V (0.000, 0.000, 0.000)
Cu (0.125, 0.125, 0.625)
Rh (0.250, 0.250, 0.250)


(24)
Below is a relaxed structure of BaIn2GaFe, with properties calculated at the PBE level.

Formation energy: -0.2095 eV/atom

Cell: 5.076 5.076 4.819 Å, 90.00 90.00 90.00°
Space group P4/mmm (No. 123)
Symmetry-distinct sites (fractional):
Ba (0.000, 0.000, 0.000)
In (0.000, 0.500, 0.500)
Ga (0.500, 0.500, 0.000)
Fe (0.500, 0.500, 0.500)


| no. | D(E_F) (states/eV/f.u.) |
| --- | --- |
| 1 | 2.34 |
| 2 | 17.32 |
| 3 | 7.36 |
| 4 | 6.18 |
| 5 | 5.83 |
| 6 | 3.58 |
| 7 | 4.77 |
| 8 | 5.42 |
| 9 | 0.82 |
| 10 | 3.14 |
| 11 | 24.53 |
| 12 | 3.50 |
| 13 | 16.46 |
| 14 | 3.37 |
| 15 | 1.00 |
| 16 | 1.73 |
| 17 | 9.52 |
| 18 | 3.51 |
| 19 | 11.40 |
| 20 | 25.36 |
| 21 | 6.44 |
| 22 | 3.62 |
| 23 | 2.61 |
| 24 | 1.87 |